Entry 1:
# Zr2TeMo | Alexandria | PBE | relaxed
# - energy relative to the elements, uncorrected (kJ/mol of atoms) = -15
# - calculated volume (A^3/atom) = 20.5
data_Zr2TeMo
_chemical_formula_sum 'Zr2 Te1 Mo1'
_cell_length_a 5.4348
_cell_length_b 5.4348
_cell_length_c 4.8579
_cell_angle_alpha 63.67
_cell_angle_beta 63.67
_cell_angle_gamma 40.36
_space_group_name_H-M_alt 'P 1'
_space_group_IT_number 1
_space_group_name_Hall 'P 1'
loop_
_atom_site_label
_atom_site_fract_x
_atom_site_fract_y
_atom_site_fract_z
Te1 0.2500 0.2500 0.2500
Zr1 0.0151 0.0151 0.9852
Zr2 0.4849 0.4849 0.5148
Mo1 0.7500 0.7500 0.7500

Entry 2:
# ZrTeMo3 | Alexandria | PBE | relaxed
# - energy relative to the elements, uncorrected (kJ/mol of atoms) = 143
# - calculated volume (A^3/atom) = 22.9
data_ZrTeMo3
_chemical_formula_sum 'Zr1 Te1 Mo3'
_cell_length_a 4.8577
_cell_length_b 4.8577
_cell_length_c 4.8577
_cell_angle_alpha 90.00
_cell_angle_beta 90.00
_cell_angle_gamma 90.00
_space_group_name_H-M_alt 'P 1'
_space_group_IT_number 1
_space_group_name_Hall 'P 1'
loop_
_atom_site_label
_atom_site_fract_x
_atom_site_fract_y
_atom_site_fract_z
Mo1 0.0000 0.5000 0.0000
Mo2 0.5000 0.0000 0.0000
Mo3 0.0000 0.0000 0.5000
Zr1 0.5000 0.5000 0.5000
Te1 0.0000 0.0000 0.0000

Entry 3:
# ThMo | Alexandria | PBE | relaxed
# - energy of formation from the pure elements (eV/atom) = 0.255
# - calculated volume (A^3/atom) = 24.8
data_ThMo
_chemical_formula_sum 'Th2 Mo2'
_cell_length_a 4.7845
_cell_length_b 3.5686
_cell_length_c 6.2897
_cell_angle_alpha 90.00
_cell_angle_beta 112.38
_cell_angle_gamma 90.00
_space_group_name_H-M_alt 'P 1'
_space_group_IT_number 1
_space_group_name_Hall 'P 1'
loop_
_atom_site_label
_atom_site_fract_x
_atom_site_fract_y
_atom_site_fract_z
Mo1 0.0784 0.7500 0.1555
Mo2 0.9216 0.2500 0.8445
Th1 0.3599 0.7500 0.7202
Th2 0.6401 0.2500 0.2798

Entry 4:
# ThMo6 | Alexandria | PBE | relaxed
# - energy of formation from the pure elements (eV/atom) = 1.439
# - calculated volume (A^3/atom) = 23.5
data_ThMo6
_chemical_formula_sum 'Th1 Mo6'
_cell_length_a 5.9776
_cell_length_b 5.9776
_cell_length_c 5.9776
_cell_angle_alpha 109.47
_cell_angle_beta 109.47
_cell_angle_gamma 109.47
_space_group_name_H-M_alt 'P 1'
_space_group_IT_number 1
_space_group_name_Hall 'P 1'
loop_
_atom_site_label
_atom_site_fract_x
_atom_site_fract_y
_atom_site_fract_z
Mo1 0.2500 0.5000 0.7500
Mo2 0.5000 0.2500 0.7500
Mo3 0.5000 0.7500 0.2500
Mo4 0.7500 0.2500 0.5000
Mo5 0.2500 0.7500 0.5000
Mo6 0.7500 0.5000 0.2500
Th1 0.0000 0.0000 0.0000

Entry 5:
# Th3Mo | Alexandria | PBE | relaxed
# - energy of formation from the pure elements (eV/atom) = 0.359
# - calculated volume (A^3/atom) = 27.3
data_Th3Mo
_chemical_formula_sum 'Th6 Mo2'
_cell_length_a 6.6119
_cell_length_b 6.6119
_cell_length_c 5.7704
_cell_angle_alpha 90.00
_cell_angle_beta 90.00
_cell_angle_gamma 120.00
_space_group_name_H-M_alt 'P 1'
_space_group_IT_number 1
_space_group_name_Hall 'P 1'
loop_
_atom_site_label
_atom_site_fract_x
_atom_site_fract_y
_atom_site_fract_z
Mo1 0.3333 0.6667 0.7500
Mo2 0.6667 0.3333 0.2500
Th1 0.1755 0.3511 0.2500
Th2 0.6489 0.8245 0.2500
Th3 0.8245 0.1755 0.7500
Th4 0.8245 0.6489 0.7500
Th5 0.3511 0.1755 0.7500
Th6 0.1755 0.8245 0.2500

Entry 6:
# ThMo4 | Alexandria | PBE | relaxed
# - energy of formation from the pure elements (eV/atom) = 2.487
# - calculated volume (A^3/atom) = 23.1
data_ThMo4
_chemical_formula_sum 'Th1 Mo4'
_cell_length_a 4.8670
_cell_length_b 4.8670
_cell_length_c 4.8670
_cell_angle_alpha 90.00
_cell_angle_beta 90.00
_cell_angle_gamma 90.00
_space_group_name_H-M_alt 'P 1'
_space_group_IT_number 1
_space_group_name_Hall 'P 1'
loop_
_atom_site_label
_atom_site_fract_x
_atom_site_fract_y
_atom_site_fract_z
Th1 0.5000 0.5000 0.5000
Mo1 0.5000 0.0000 0.5000
Mo2 0.0000 0.5000 0.5000
Mo3 0.5000 0.5000 0.0000
Mo4 0.0000 0.0000 0.0000

Entry 7:
# Th3Mo | Alexandria | PBE | relaxed
# - energy of formation from the pure elements (eV/atom) = 0.203
# - calculated volume (A^3/atom) = 28.0
data_Th3Mo
_chemical_formula_sum 'Th3 Mo1'
_cell_length_a 3.6738
_cell_length_b 5.7256
_cell_length_c 6.3198
_cell_angle_alpha 116.94
_cell_angle_beta 106.90
_cell_angle_gamma 90.00
_space_group_name_H-M_alt 'P 1'
_space_group_IT_number 1
_space_group_name_Hall 'P 1'
loop_
_atom_site_label
_atom_site_fract_x
_atom_site_fract_y
_atom_site_fract_z
Mo1 0.0000 0.9458 0.0000
Th1 0.7144 0.1218 0.4288
Th2 0.2856 0.6929 0.5712
Th3 0.5000 0.4061 0.0000

Entry 8:
# ThTi2Mo | Alexandria | PBE | relaxed
# - energy of formation from the pure elements (eV/atom) = 0.027
# - calculated volume (A^3/atom) = 20.3
data_ThTi2Mo
_chemical_formula_sum 'Th1 Ti2 Mo1'
_cell_length_a 3.2633
_cell_length_b 3.2633
_cell_length_c 7.6405
_cell_angle_alpha 90.00
_cell_angle_beta 90.00
_cell_angle_gamma 90.00
_space_group_name_H-M_alt 'P 1'
_space_group_IT_number 1
_space_group_name_Hall 'P 1'
loop_
_atom_site_label
_atom_site_fract_x
_atom_site_fract_y
_atom_site_fract_z
Th1 0.5000 0.5000 0.5000
Ti1 0.0000 0.0000 0.8126
Ti2 0.0000 0.0000 0.1874
Mo1 0.5000 0.5000 0.0000

Entry 9:
# ThTi2Mo | Alexandria | PBE | relaxed
# - energy of formation from the pure elements (eV/atom) = 0.339
# - calculated volume (A^3/atom) = 20.8
data_ThTi2Mo
_chemical_formula_sum 'Th1 Ti2 Mo1'
_cell_length_a 3.1248
_cell_length_b 3.1248
_cell_length_c 9.9851
_cell_angle_alpha 81.00
_cell_angle_beta 81.00
_cell_angle_gamma 60.00
_space_group_name_H-M_alt 'P 1'
_space_group_IT_number 1
_space_group_name_Hall 'P 1'
loop_
_atom_site_label
_atom_site_fract_x
_atom_site_fract_y
_atom_site_fract_z
Ti1 0.8982 0.8982 0.3054
Ti2 0.1018 0.1018 0.6946
Mo1 0.5000 0.5000 0.5000
Th1 0.0000 0.0000 0.0000

Entry 10:
# ThTiMo | Alexandria | PBE | relaxed
# - energy of formation from the pure elements (eV/atom) = 0.372
# - calculated volume (A^3/atom) = 21.4
data_ThTiMo
_chemical_formula_sum 'Th2 Ti2 Mo2'
_cell_length_a 4.9929
_cell_length_b 4.9929
_cell_length_c 6.6205
_cell_angle_alpha 67.85
_cell_angle_beta 67.85
_cell_angle_gamma 60.00
_space_group_name_H-M_alt 'P 1'
_space_group_IT_number 1
_space_group_name_Hall 'P 1'
loop_
_atom_site_label
_atom_site_fract_x
_atom_site_fract_y
_atom_site_fract_z
Ti1 0.9237 0.9237 0.2290
Ti2 0.0763 0.0763 0.7710
Mo1 0.7824 0.7824 0.6527
Mo2 0.2176 0.2176 0.3473
Th1 0.5999 0.5999 0.2002
Th2 0.4001 0.4001 0.7998

Entry 11:
# Th2TlMo | Alexandria | PBE | relaxed
# - energy of formation from the pure elements (eV/atom) = 0.058
# - calculated volume (A^3/atom) = 27.5
data_Th2TlMo
_chemical_formula_sum 'Th2 Tl1 Mo1'
_cell_length_a 3.5432
_cell_length_b 3.5432
_cell_length_c 8.7496
_cell_angle_alpha 90.00
_cell_angle_beta 90.00
_cell_angle_gamma 90.00
_space_group_name_H-M_alt 'P 1'
_space_group_IT_number 1
_space_group_name_Hall 'P 1'
loop_
_atom_site_label
_atom_site_fract_x
_atom_site_fract_y
_atom_site_fract_z
Th1 0.0000 0.0000 0.7980
Th2 0.0000 0.0000 0.2020
Mo1 0.5000 0.5000 0.0000
Tl1 0.5000 0.5000 0.5000

Entry 12:
# ThTlMo | Alexandria | PBE | relaxed
# - energy of formation from the pure elements (eV/atom) = 0.081
# - calculated volume (A^3/atom) = 25.7
data_ThTlMo
_chemical_formula_sum 'Th2 Tl2 Mo2'
_cell_length_a 3.7944
_cell_length_b 4.5002
_cell_length_c 9.3049
_cell_angle_alpha 76.01
_cell_angle_beta 90.00
_cell_angle_gamma 90.00
_space_group_name_H-M_alt 'P 1'
_space_group_IT_number 1
_space_group_name_Hall 'P 1'
loop_
_atom_site_label
_atom_site_fract_x
_atom_site_fract_y
_atom_site_fract_z
Mo1 0.7500 0.4513 0.0974
Mo2 0.2500 0.5487 0.9026
Th1 0.7500 0.0916 0.8169
Th2 0.2500 0.9084 0.1831
Tl1 0.2500 0.7111 0.5779
Tl2 0.7500 0.2889 0.4221